Entry a
Density functional theory data (GGA-PBE) for a relaxed Tb3Y4Ho5 crystal. Values from VASP.

## Properties
- Symmetry: No. 2

Quantum ESPRESSO input file:
```
&SYSTEM
  ibrav = 0, nat = 12, ntyp = 3
/
ATOMIC_SPECIES
Tb 158.93 Tb.upf
Y 88.91 Y.upf
Ho 164.93 Ho.upf
CELL_PARAMETERS angstrom
6.146 0.000 0.000
-0.015 7.101 0.000
-0.015 0.000 8.685
ATOMIC_POSITIONS crystal
Tb 0.000 0.000 0.000
Tb 0.167 0.751 0.668
Tb 0.833 0.249 0.332
Y 0.167 0.249 0.667
Y 0.333 0.499 0.332
Y 0.667 0.501 0.668
Y 0.833 0.751 0.333
Ho 0.000 0.500 0.000
Ho 0.334 0.000 0.333
Ho 0.499 0.751 0.000
Ho 0.501 0.249 0.000
Ho 0.666 0.000 0.667
```


Entry b
Density functional theory data (GGA-PBE) for a relaxed Tb3Y4Ho5 crystal. Values from VASP.

## Properties
- Symmetry: No. 12

Quantum ESPRESSO input file:
```
&SYSTEM
  ibrav = 0, nat = 12, ntyp = 3
/
ATOMIC_SPECIES
Tb 158.93 Tb.upf
Y 88.91 Y.upf
Ho 164.93 Ho.upf
CELL_PARAMETERS angstrom
7.986 -2.937 0.000
7.986 2.937 0.000
-4.155 0.000 8.293
ATOMIC_POSITIONS crystal
Tb 0.000 0.000 0.000
Tb 0.291 0.291 0.767
Tb 0.709 0.709 0.233
Y 0.288 0.288 0.121
Y 0.419 0.419 0.561
Y 0.581 0.581 0.439
Y 0.712 0.712 0.879
Ho 0.074 0.074 0.699
Ho 0.173 0.173 0.386
Ho 0.500 0.500 0.000
Ho 0.827 0.827 0.614
Ho 0.926 0.926 0.301
```


Most stable structure - entry a; separation to the second - 20.9 kJ/mol of atoms.


Entry a
Density functional theory data (GGA-PBE) for a relaxed Tb7YHo12 crystal. Values from VASP.

## Properties
- Symmetry: No. 148

Quantum ESPRESSO input file:
```
&SYSTEM
  ibrav = 0, nat = 20, ntyp = 3
/
ATOMIC_SPECIES
Tb 158.93 Tb.upf
Y 88.91 Y.upf
Ho 164.93 Ho.upf
CELL_PARAMETERS angstrom
6.382 3.684 4.538
-6.382 3.684 4.538
0.000 -7.369 4.538
ATOMIC_POSITIONS crystal
Tb 0.000 0.000 0.000
Tb 0.145 0.414 0.478
Tb 0.414 0.478 0.145
Tb 0.478 0.145 0.414
Tb 0.522 0.855 0.586
Tb 0.586 0.522 0.855
Tb 0.855 0.586 0.522
Y 0.500 0.500 0.500
Ho 0.018 0.083 0.352
Ho 0.083 0.352 0.018
Ho 0.186 0.750 0.315
Ho 0.250 0.685 0.814
Ho 0.315 0.186 0.750
Ho 0.352 0.018 0.083
Ho 0.648 0.982 0.917
Ho 0.685 0.814 0.250
Ho 0.750 0.315 0.186
Ho 0.814 0.250 0.685
Ho 0.917 0.648 0.982
Ho 0.982 0.917 0.648
```


Entry b
Density functional theory data (GGA-PBE) for a relaxed Tb7YHo12 crystal. Values from VASP.

## Properties
- Symmetry: No. 229

Quantum ESPRESSO input file:
```
&SYSTEM
  ibrav = 0, nat = 20, ntyp = 3
/
ATOMIC_SPECIES
Tb 158.93 Tb.upf
Y 88.91 Y.upf
Ho 164.93 Ho.upf
CELL_PARAMETERS angstrom
-5.602 5.602 5.602
5.602 -5.602 5.602
5.602 5.602 -5.602
ATOMIC_POSITIONS crystal
Tb 0.000 0.000 0.500
Tb 0.000 0.500 0.000
Tb 0.000 0.500 0.500
Tb 0.500 0.000 0.000
Tb 0.500 0.000 0.500
Tb 0.500 0.500 0.000
Tb 0.500 0.500 0.500
Y 0.000 0.000 0.000
Ho 0.000 0.250 0.750
Ho 0.000 0.750 0.250
Ho 0.250 0.000 0.750
Ho 0.250 0.250 0.500
Ho 0.250 0.500 0.250
Ho 0.250 0.750 0.000
Ho 0.500 0.250 0.250
Ho 0.500 0.750 0.750
Ho 0.750 0.000 0.250
Ho 0.750 0.250 0.000
Ho 0.750 0.500 0.750
Ho 0.750 0.750 0.500
```


Most stable structure - entry a; separation to the second - 39.4 kJ/mol of atoms.


Entry a
Density functional theory data (GGA-PBE) for a relaxed Tb2Y3Ho3 crystal. Values from VASP.

## Properties
- Symmetry: No. 155

Quantum ESPRESSO input file:
```
&SYSTEM
  ibrav = 0, nat = 8, ntyp = 3
/
ATOMIC_SPECIES
Tb 158.93 Tb.upf
Y 88.91 Y.upf
Ho 164.93 Ho.upf
CELL_PARAMETERS angstrom
4.386 2.533 3.982
-4.386 2.533 3.982
0.000 -5.065 3.982
ATOMIC_POSITIONS crystal
Tb 0.249 0.249 0.249
Tb 0.751 0.751 0.751
Y 0.265 0.500 0.735
Y 0.500 0.735 0.265
Y 0.735 0.265 0.500
Ho 0.000 0.767 0.233
Ho 0.233 0.000 0.767
Ho 0.767 0.233 0.000
```


Entry b
Density functional theory data (GGA-PBE) for a relaxed Tb2Y3Ho3 crystal. Values from VASP.

## Properties
- Symmetry: No. 71

Quantum ESPRESSO input file:
```
&SYSTEM
  ibrav = 0, nat = 8, ntyp = 3
/
ATOMIC_SPECIES
Tb 158.93 Tb.upf
Y 88.91 Y.upf
Ho 164.93 Ho.upf
CELL_PARAMETERS angstrom
-2.510 2.511 10.048
2.510 -2.511 10.048
2.510 2.511 -10.048
ATOMIC_POSITIONS crystal
Tb 0.250 0.250 0.000
Tb 0.750 0.750 0.000
Y 0.000 0.000 0.000
Y 0.375 0.875 0.500
Y 0.625 0.125 0.500
Ho 0.125 0.625 0.500
Ho 0.500 0.500 0.000
Ho 0.875 0.375 0.500
```


Most stable structure - entry b; separation to the second - 20.8 kJ/mol of atoms.


Entry a
Density functional theory data (GGA-PBE) for a relaxed Tb7Y3Ho crystal. Values from VASP.

## Properties
- Symmetry: No. 12

Quantum ESPRESSO input file:
```
&SYSTEM
  ibrav = 0, nat = 11, ntyp = 3
/
ATOMIC_SPECIES
Tb 158.93 Tb.upf
Y 88.91 Y.upf
Ho 164.93 Ho.upf
CELL_PARAMETERS angstrom
6.325 -5.575 0.000
6.325 5.575 0.000
-2.659 0.000 5.165
ATOMIC_POSITIONS crystal
Tb 0.000 0.000 0.000
Tb 0.098 0.508 0.304
Tb 0.289 0.289 0.791
Tb 0.492 0.902 0.696
Tb 0.508 0.098 0.304
Tb 0.711 0.711 0.209
Tb 0.902 0.492 0.696
Y 0.294 0.706 0.000
Y 0.500 0.500 0.500
Y 0.706 0.294 0.000
Ho 0.000 0.000 0.500
```


Entry b
Density functional theory data (GGA-PBE) for a relaxed Tb7Y3Ho crystal. Values from VASP.

## Properties
- Symmetry: No. 10

Quantum ESPRESSO input file:
```
&SYSTEM
  ibrav = 0, nat = 11, ntyp = 3
/
ATOMIC_SPECIES
Tb 158.93 Tb.upf
Y 88.91 Y.upf
Ho 164.93 Ho.upf
CELL_PARAMETERS angstrom
7.023 0.000 0.000
0.000 5.546 0.000
-3.451 0.000 9.268
ATOMIC_POSITIONS crystal
Tb 0.000 0.000 0.000
Tb 0.147 0.500 0.293
Tb 0.322 0.500 0.641
Tb 0.417 0.000 0.830
Tb 0.583 0.000 0.170
Tb 0.678 0.500 0.359
Tb 0.853 0.500 0.707
Y 0.000 0.000 0.500
Y 0.279 0.500 0.999
Y 0.721 0.500 0.001
Ho 0.500 0.000 0.500
```


Most stable structure - entry b; separation to the second - 11.7 kJ/mol of atoms.